Entry 1:
This record from Alexandria via LeMat-Bulk describes a relaxed CsZrRh3 crystal. The functional is PBE.

Calculated values
DOS at the Fermi energy, states/eV/atom: 0.48
Volume, Å³/atom: 23.39
ΔH_f (0 K), eV per formula unit: 9.0
VASP energy, eV/atom: -4.5006

Cell lengths 4.8905, 4.8905, 4.8905 Å; angles 90.00, 90.00, 90.00 degrees
With the nearest neighbours (Å) after each atom.
Space group Pm-3m (No. 221)
One atom of each set of equivalent atoms:
1 Cs 0.0000 0.0000 0.0000 x1  6 Rh 2.45
2 Zr 0.5000 0.5000 0.5000 x1  12 Rh 3.46
3 Rh 0.0000 0.0000 0.5000 x3  2 Cs 2.45



Entry 2:
This record from Alexandria via LeMat-Bulk describes a relaxed NaUTe3Pd crystal. The functional is PBE.

Calculated values
DOS at the Fermi energy, states/eV/atom: 1.16
Volume, Å³/atom: 29.80
VASP energy, eV/atom: -5.1962

Cell lengths 8.3896, 4.2576, 10.5101 Å; angles 90.00, 107.71, 90.00 degrees
With the nearest neighbours (Å) after each atom.
Space group P2_1/m (No. 11)
One atom of each set of equivalent atoms:
1 Na 0.2303 0.2500 0.2950 x2  6 Te 3.27-3.34, 1 Pd 3.65
2 U 0.3094 0.7500 0.8290 x2  6 Te 2.95-3.11
3 Te 0.0664 0.2500 0.8475 x2  1 Pd 2.75, 2 U 2.99
4 Te 0.2582 0.7500 0.5383 x2  3 Pd 2.70-2.83, 1 U 2.95
5 Te 0.4161 0.7500 0.1396 x2  3 U 3.08-3.11, 2 Na 3.34
6 Pd 0.0914 0.2500 0.5923 x2  4 Te 2.70-2.83, 2 Pd 2.97



Entry 3:
This record from Alexandria via LeMat-Bulk describes a relaxed BaEuEr2 crystal. The functional is PBE.

Calculated values
DOS at the Fermi energy, states/eV/atom: 1.43
Volume, Å³/atom: 37.70
ΔH_f (0 K), eV per formula unit: 1.2
VASP energy, eV/atom: -5.0240

Cell lengths 3.6375, 3.6375, 39.4782 Å; angles 90.00, 90.00, 120.00 degrees
With the nearest neighbours (Å) after each atom.
Space group R-3m (No. 166, hexagonal axes)
One atom of each set of equivalent atoms:
1 Ba 0.0000 0.0000 0.0000 x3  2 Er 3.60, 6 Ba 3.64
2 Eu 0.0000 0.0000 0.5000 x3  6 Eu 3.64, 6 Er 3.64
3 Er 0.0000 0.0000 0.0912 x6  1 Ba 3.60, 6 Er 3.64, 3 Eu 3.64



Entry 4:
This record from Alexandria via LeMat-Bulk describes a relaxed CsYCd2F8 crystal. The functional is PBE.

Calculated values
DOS at the Fermi energy, states/eV/atom: 0.00
Volume, Å³/atom: 20.79
VASP energy, eV/atom: -4.8912

Cell lengths 5.5950, 5.6692, 8.2348 Å; angles 79.79, 80.17, 78.55 degrees
With the nearest neighbours (Å) after each atom.
Space group P-1 (No. 2)
One atom of each set of equivalent atoms:
1 Cs 0.0000 0.0000 0.0000 x1  6 F 2.95-3.01
2 Y 0.0000 0.0000 0.5000 x1  6 F 2.18-2.21
3 Cd 0.4560 0.4549 0.2235 x2  5 F 2.19-2.25
4 F 0.1968 0.7683 0.6990 x2  1 Y 2.21, 1 Cd 2.22
5 F 0.2172 0.7861 0.3076 x2  1 Y 2.21, 1 Cd 2.22
6 F 0.2679 0.2454 0.4401 x2  1 Y 2.18, 1 Cd 2.19
7 F 0.3562 0.3322 0.0020 x2  2 Cd 2.25



Entry 5:
This record from Alexandria via LeMat-Bulk describes a relaxed TaAuCSe2 crystal. The functional is PBE.

Calculated values
DOS at the Fermi energy, states/eV/atom: 0.71
Volume, Å³/atom: 20.81
VASP energy, eV/atom: -4.7465

Cell lengths 5.2481, 5.2481, 3.7774 Å; angles 90.00, 90.00, 90.00 degrees
With the nearest neighbours (Å) after each atom.
Space group P4/mmm (No. 123)
One atom of each set of equivalent atoms:
1 Ta 0.0000 0.0000 0.0000 x1  8 Se 3.23
2 Au 0.5000 0.5000 0.5000 x1  2 C 1.89
3 C 0.5000 0.5000 0.0000 x1  2 Au 1.89
4 Se 0.0000 0.5000 0.5000 x2  2 Au 2.62



Entry 6:
This record from Alexandria via LeMat-Bulk describes a relaxed Tc5Rh4 crystal. The functional is PBE.

Calculated values
DOS at the Fermi energy, states/eV/atom: 1.10
Volume, Å³/atom: 14.35
ΔH_f (0 K), eV per formula unit: -0.6
VASP energy, eV/atom: -9.0889

Cell lengths 8.1654, 8.1654, 3.8749 Å; angles 90.00, 90.00, 90.00 degrees
With the nearest neighbours (Å) after each atom.
Space group I4/mmm (No. 139)
One atom of each set of equivalent atoms:
1 Tc 0.0000 0.0000 0.0000 x2  4 Rh 2.68, 8 Tc 2.72
2 Tc 0.1657 0.1657 0.5000 x8  6 Tc 2.71-2.75, 6 Rh 2.71-2.73
3 Rh 0.0000 0.3286 0.0000 x8  7 Tc 2.68-2.73, 5 Rh 2.77-2.80



Entry 7:
This record from Alexandria via LeMat-Bulk describes a relaxed LiSc2Re crystal. The functional is PBE.

Calculated values
DOS at the Fermi energy, states/eV/atom: 0.77
Volume, Å³/atom: 18.32
ΔH_f (0 K), eV per formula unit: 0.5
VASP energy, eV/atom: -6.6204

Cell lengths 9.8888, 3.2058, 4.7864 Å; angles 90.00, 104.97, 90.00 degrees
With the nearest neighbours (Å) after each atom.
Space group Cm (No. 8)
One atom of each set of equivalent atoms:
1 Li 0.0000 0.0000 0.0000 x2  7 Sc 2.74-3.02, 2 Re 2.77
2 Sc 0.2408 0.0000 0.8157 x2  3 Li 2.74-2.96, 4 Re 2.86-2.92
3 Sc 0.4539 0.0000 0.4474 x2  3 Re 2.79-2.83, 4 Li 2.80-3.02, 1 Sc 3.08
4 Re 0.2154 0.5000 0.3101 x2  2 Li 2.77, 7 Sc 2.79-2.92



Entry 8:
This record from Alexandria via LeMat-Bulk describes a relaxed Y4Zn5Sn6 crystal. The functional is PBE.

Calculated values
DOS at the Fermi energy, states/eV/atom: 0.18
Volume, Å³/atom: 24.01
ΔH_f (0 K), eV per formula unit: -6.6
VASP energy, eV/atom: -4.1893

Cell lengths 4.5488, 19.3553, 16.3627 Å; angles 90.00, 90.00, 90.00 degrees
With the nearest neighbours (Å) after each atom.
Space group Cmc2_1 (No. 36)
One atom of each set of equivalent atoms:
1 Y 0.0000 0.0282 0.0000 x4  3 Zn 3.11-3.29, 7 Sn 3.23-3.29
2 Y 0.0000 0.0297 0.2680 x4  5 Zn 3.15-3.24, 6 Sn 3.19-3.46
3 Y 0.0000 0.1714 0.8033 x4  6 Sn 3.12-3.26, 2 Zn 3.38
4 Y 0.0000 0.1747 0.4487 x4  6 Sn 3.09-3.11
5 Zn 0.0000 0.1444 0.1314 x4  4 Sn 2.69-2.82
6 Zn 0.0000 0.3025 0.1291 x4  1 Zn 2.66, 4 Sn 2.73-2.88
7 Zn 0.0000 0.3488 0.4978 x4  4 Sn 2.66-2.89
8 Zn 0.0000 0.3514 0.7818 x4  4 Sn 2.70-2.96
9 Zn 0.0000 0.4251 0.2020 x4  4 Sn 2.64-2.79, 1 Zn 2.66
10 Sn 0.0000 0.1063 0.6195 x4  4 Zn 2.71-2.88
11 Sn 0.0000 0.2229 0.2670 x4  4 Zn 2.69-2.73
12 Sn 0.0000 0.2226 0.9918 x4  4 Zn 2.66-2.74
13 Sn 0.0000 0.4306 0.3634 x4  2 Zn 2.64-2.71, 1 Sn 2.85
14 Sn 0.0000 0.4305 0.9206 x4  1 Zn 2.74, 1 Sn 2.85
15 Sn 0.0000 0.4418 0.6359 x4  5 Zn 2.79-2.96



Entry 9:
This record from Alexandria via LeMat-Bulk describes a relaxed Nd8Sm6Mg crystal. The functional is PBE.

Calculated values
DOS at the Fermi energy, states/eV/atom: 1.34
Volume, Å³/atom: 34.32
ΔH_f (0 K), eV per formula unit: 1.8
VASP energy, eV/atom: -4.4157

Cell lengths 9.5030, 9.5030, 6.5832 Å; angles 90.00, 90.00, 120.00 degrees
With the nearest neighbours (Å) after each atom.
Space group P-3 (No. 147)
One atom of each set of equivalent atoms:
1 Nd 0.0385 0.2722 0.1782 x6  1 Mg 3.22, 2 Sm 3.37-3.53, 3 Nd 3.37-3.39
2 Nd 0.3333 0.6667 0.1348 x2  3 Nd 3.39, 3 Sm 3.78
3 Sm 0.0924 0.4444 0.6678 x6  1 Sm 3.31, 5 Nd 3.37-3.68
4 Mg 0.0000 0.0000 0.5000 x1  6 Nd 3.22



Entry 10:
This record from Alexandria via LeMat-Bulk describes a relaxed Pm6Co2Sn3 crystal. The functional is PBE.

Calculated values
DOS at the Fermi energy, states/eV/atom: 0.44
Volume, Å³/atom: 29.56
ΔH_f (0 K), eV per formula unit: -2.9
VASP energy, eV/atom: -5.2354

Cell lengths 4.9067, 4.9067, 27.0074 Å; angles 90.00, 90.00, 90.00 degrees
With the nearest neighbours (Å) after each atom.
Space group I4/mmm (No. 139)
One atom of each set of equivalent atoms:
1 Pm 0.0000 0.0000 0.2103 x4  1 Co 2.55
2 Pm 0.0000 0.5000 0.0803 x8  2 Co 2.64
3 Co 0.0000 0.0000 0.1160 x4  5 Pm 2.55-2.64
4 Sn 0.0000 0.0000 0.3296 x4  5 Pm 3.22-3.46
5 Sn 0.0000 0.0000 0.5000 x2  8 Pm 3.27



Entry 11:
This record from Alexandria via LeMat-Bulk describes a relaxed Os2BrCl crystal. The functional is PBE.

Calculated values
DOS at the Fermi energy, states/eV/atom: 0.89
Volume, Å³/atom: 15.75
VASP energy, eV/atom: -4.6697

Cell lengths 6.3158, 6.3158, 6.3158 Å; angles 90.00, 90.00, 90.00 degrees
With the nearest neighbours (Å) after each atom.
Space group Fm-3m (No. 225)
One atom of each set of equivalent atoms:
1 Os 0.2500 0.2500 0.2500 x8  4 Cl 2.73, 4 Br 2.73
2 Br 0.0000 0.0000 0.0000 x4  8 Os 2.73
3 Cl 0.0000 0.0000 0.5000 x4  8 Os 2.73



Entry 12:
This record from Alexandria via LeMat-Bulk describes a relaxed InRe2Br crystal. The functional is PBE.

Calculated values
DOS at the Fermi energy, states/eV/atom: 1.11
Volume, Å³/atom: 17.58
VASP energy, eV/atom: -6.2275

Cell lengths 9.5752, 2.9572, 5.0872 Å; angles 90.00, 102.45, 90.00 degrees
With the nearest neighbours (Å) after each atom.
Space group C2/m (No. 12)
One atom of each set of equivalent atoms:
1 In 0.0000 0.0000 0.0000 x2  6 Re 2.81-3.00, 4 Br 2.94, 2 In 2.96
2 Re 0.2421 0.5000 0.2449 x4  3 In 2.81-3.00, 3 Br 2.89-2.93, 6 Re 2.93-2.96
3 Br 0.0000 0.5000 0.5000 x2  6 Re 2.89-2.93, 4 In 2.94, 2 Br 2.96